TaMn2Se | Alexandria | PBE | relaxed; formation energy from raw total energies = 337 meV per atom; uncorrected energy = -8.082 eV/atom; V = 16.28 Å³ per atom
1.0
-3.539 3.539 2.600
3.539 -3.539 2.600
3.539 3.539 -2.600
Ta Mn Se
2 4 2
Cartesian
0.000 0.000 0.000 Ta
0.000 3.539 1.300 Ta
1.769 -1.589 1.950 Mn
1.950 1.769 0.650 Mn
1.769 5.128 -0.650 Mn
1.589 1.769 3.250 Mn
3.539 0.000 1.300 Se
0.000 0.000 2.600 Se

***

Ta2MnSe | Alexandria | PBE | relaxed; formation energy from raw total energies = 148 meV per atom; uncorrected energy = -8.942 eV/atom; V = 16.36 Å³ per atom
1.0
3.333 0.000 0.000
0.000 4.238 0.000
0.000 0.000 4.631
Ta Mn Se
2 1 1
Cartesian
0.000 0.000 0.000 Ta
1.667 0.000 2.315 Ta
0.000 2.119 2.315 Mn
1.667 2.119 0.000 Se

***

TaMnSe2 | Alexandria | PBE | relaxed; formation energy from raw total energies = 149 meV per atom; uncorrected energy = -6.849 eV/atom; V = 17.66 Å³ per atom
1.0
-1.838 1.838 5.226
1.838 -1.838 5.226
1.838 1.838 -5.226
Ta Mn Se
1 1 2
Cartesian
0.000 0.000 0.000 Ta
1.838 0.000 2.613 Mn
0.000 0.000 5.226 Se
0.000 1.838 2.613 Se

***

Ta2MnSe | Alexandria | PBE | relaxed; formation energy from raw total energies = 79 meV per atom; uncorrected energy = -9.011 eV/atom; V = 16.04 Å³ per atom
1.0
2.883 -3.534 0.000
2.883 3.534 0.000
0.000 0.000 3.148
Ta Mn Se
2 1 1
Cartesian
1.441 1.767 0.000 Ta
1.441 -1.767 0.000 Ta
0.000 0.000 1.574 Mn
2.883 0.000 1.574 Se